YZr2Sc PBEsol relaxed; symmetry = I4/mmm (139); electronic total energy = -0.287 hartree per atom; ΔH_f (0 K) = 0.09 eV/atom
1.0
4.539 0.000 0.000
0.000 4.539 0.000
-2.269 -2.269 4.644
Zr Y Sc
2 1 1
direct
0.250 0.750 0.500 Zr
0.750 0.250 0.500 Zr
0.500 0.500 0.000 Y
0.000 0.000 0.000 Sc